1.
# Dy3Cd5H12, optimized geometry, DFT PBE
# Space group: Ia-3d, No. 230
data_Dy3Cd5H12
_cell_length_a 10.9065
_cell_length_b 10.9065
_cell_length_c 10.9065
_cell_angle_alpha 109.47
_cell_angle_beta 109.47
_cell_angle_gamma 109.47
_symmetry_space_group_name_H-M 'P 1'
_symmetry_Int_Tables_number 1
_symmetry_space_group_name_Hall 'P 1'
loop_
_atom_site_label
_atom_site_type_symbol
_atom_site_fract_x
_atom_site_fract_y
_atom_site_fract_z
_atom_site_occupancy
H1 H 0.4095 0.0631 0.3188 1
H2 H 0.1812 0.0907 0.7443 1
Dy1 Dy 0.6250 0.2500 0.3750 1
H3 H 0.2557 0.8464 0.9369 1
H4 H 0.5631 0.2443 0.1536 1
Dy2 Dy 0.7500 0.8750 0.6250 1
Cd1 Cd 0.8750 0.6250 0.7500 1
Dy3 Dy 0.7500 0.3750 0.1250 1
Dy4 Dy 0.3750 0.7500 0.6250 1
H5 H 0.3188 0.5631 0.4095 1
H6 H 0.6536 0.5905 0.9093 1
Cd2 Cd 0.2500 0.3750 0.6250 1
Dy5 Dy 0.1250 0.2500 0.8750 1
H7 H 0.0631 0.4095 0.8188 1
H8 H 0.8188 0.9093 0.2557 1
Cd3 Cd 0.1250 0.3750 0.2500 1
H9 H 0.8464 0.2557 0.4369 1
Dy6 Dy 0.6250 0.3750 0.7500 1
H10 H 0.6536 0.0631 0.2443 1
H11 H 0.5631 0.3188 0.9095 1
Cd4 Cd 0.0000 0.5000 0.0000 1
H12 H 0.2557 0.4093 0.8188 1
H13 H 0.4369 0.7557 0.8464 1
Dy7 Dy 0.2500 0.6250 0.8750 1
H14 H 0.0907 0.9095 0.3464 1
Cd5 Cd 0.5000 0.5000 0.5000 1
H15 H 0.2443 0.6812 0.0907 1
H16 H 0.2443 0.5631 0.6536 1
H17 H 0.9369 0.5905 0.1812 1
Cd6 Cd 0.5000 0.0000 0.0000 1
H18 H 0.9093 0.0905 0.6536 1
Dy8 Dy 0.8750 0.1250 0.2500 1
Dy9 Dy 0.1250 0.8750 0.7500 1
H19 H 0.1536 0.4093 0.0905 1
H20 H 0.7443 0.1536 0.0631 1
Cd7 Cd 0.5000 0.0000 0.5000 1
H21 H 0.5905 0.6536 0.4093 1
Cd8 Cd 0.3750 0.2500 0.1250 1
H22 H 0.7557 0.3188 0.9093 1
H23 H 0.7443 0.5907 0.1812 1
H24 H 0.8188 0.9095 0.0631 1
Cd9 Cd 0.0000 0.0000 0.0000 1
H25 H 0.3464 0.9369 0.7557 1
H26 H 0.5905 0.9369 0.6812 1
Dy10 Dy 0.3750 0.6250 0.2500 1
Cd10 Cd 0.6250 0.8750 0.2500 1
H27 H 0.3464 0.4095 0.0907 1
H28 H 0.4093 0.2557 0.3188 1
H29 H 0.3188 0.7557 0.4093 1
H30 H 0.4369 0.6812 0.0905 1
H31 H 0.4093 0.1536 0.5905 1
Cd11 Cd 0.2500 0.8750 0.1250 1
H32 H 0.0905 0.9093 0.1536 1
Cd12 Cd 0.8750 0.2500 0.6250 1
H33 H 0.6812 0.4369 0.5905 1
Cd13 Cd 0.7500 0.1250 0.8750 1
H34 H 0.9095 0.0907 0.8464 1
H35 H 0.4095 0.3464 0.5907 1
H36 H 0.5907 0.8464 0.4095 1
H37 H 0.6812 0.2443 0.5907 1
H38 H 0.8464 0.5907 0.9095 1
Dy11 Dy 0.8750 0.7500 0.1250 1
Cd14 Cd 0.3750 0.1250 0.7500 1
Cd15 Cd 0.1250 0.7500 0.3750 1
Cd16 Cd 0.0000 0.0000 0.5000 1
H39 H 0.9369 0.3464 0.2557 1
Cd17 Cd 0.0000 0.5000 0.5000 1
H40 H 0.5907 0.7443 0.6812 1
H41 H 0.9095 0.8188 0.5631 1
H42 H 0.0631 0.6536 0.7443 1
H43 H 0.1536 0.7443 0.5631 1
H44 H 0.0905 0.1812 0.4369 1
Cd18 Cd 0.7500 0.6250 0.3750 1
H45 H 0.7557 0.4369 0.3464 1
Cd19 Cd 0.6250 0.7500 0.8750 1
H46 H 0.0907 0.1812 0.2443 1
Dy12 Dy 0.2500 0.1250 0.3750 1
H47 H 0.9093 0.8188 0.7557 1
H48 H 0.1812 0.0905 0.9369 1
Cd20 Cd 0.5000 0.5000 0.0000 1



2.
# MnGa2Ir2, optimized geometry, DFT PBE
# Formation energy, eV/atom: 0.0480
# Space group: P4/mbm, No. 127
# Excess energy over the best structure of this formula in the dataset, meV/atom: 301
data_MnGa2Ir2
_cell_length_a 7.1433
_cell_length_b 7.1433
_cell_length_c 2.7923
_cell_angle_alpha 90.00
_cell_angle_beta 90.00
_cell_angle_gamma 90.00
_symmetry_space_group_name_H-M 'P 1'
_symmetry_Int_Tables_number 1
_symmetry_space_group_name_Hall 'P 1'
loop_
_atom_site_label
_atom_site_type_symbol
_atom_site_fract_x
_atom_site_fract_y
_atom_site_fract_z
_atom_site_occupancy
Mn1 Mn 0.5000 0.5000 0.0000 1
Ir1 Ir 0.8334 0.3334 0.5000 1
Ga1 Ga 0.3663 0.8663 0.0000 1
Ga2 Ga 0.6337 0.1337 0.0000 1
Ga3 Ga 0.8663 0.6337 0.0000 1
Ga4 Ga 0.1337 0.3663 0.0000 1
Ir2 Ir 0.6666 0.8334 0.5000 1
Mn2 Mn 0.0000 0.0000 0.0000 1
Ir3 Ir 0.1666 0.6666 0.5000 1
Ir4 Ir 0.3334 0.1666 0.5000 1



3.
# Na4Au2S, optimized geometry, DFT PBE
# Space group: I4/mmm, No. 139
# Formation energy without anion corrections, eV/atom: -0.459
data_Na4Au2S
_cell_length_a 5.4078
_cell_length_b 5.4078
_cell_length_c 7.9991
_cell_angle_alpha 70.24
_cell_angle_beta 70.24
_cell_angle_gamma 90.00
_symmetry_space_group_name_H-M 'P 1'
_symmetry_Int_Tables_number 1
_symmetry_space_group_name_Hall 'P 1'
loop_
_atom_site_label
_atom_site_type_symbol
_atom_site_fract_x
_atom_site_fract_y
_atom_site_fract_z
_atom_site_occupancy
Na1 Na 0.0000 0.5000 0.0000 1
Na2 Na 0.5000 0.0000 0.0000 1
Na3 Na 0.1854 0.1854 0.6293 1
S1 S 0.0000 0.0000 0.0000 1
Au1 Au 0.6095 0.6095 0.7809 1
Au2 Au 0.3905 0.3905 0.2191 1
Na4 Na 0.8146 0.8146 0.3707 1



4.
# Cs2NiP, optimized geometry, DFT PBE
# Formation energy, eV/atom: 0.8332
# Space group: Fm-3m, No. 225
data_Cs2NiP
_cell_length_a 5.7474
_cell_length_b 5.7474
_cell_length_c 5.7474
_cell_angle_alpha 60.00
_cell_angle_beta 60.00
_cell_angle_gamma 60.00
_symmetry_space_group_name_H-M 'P 1'
_symmetry_Int_Tables_number 1
_symmetry_space_group_name_Hall 'P 1'
loop_
_atom_site_label
_atom_site_type_symbol
_atom_site_fract_x
_atom_site_fract_y
_atom_site_fract_z
_atom_site_occupancy
Ni1 Ni 0.5000 0.5000 0.5000 1
P1 P 0.0000 0.0000 0.0000 1
Cs1 Cs 0.2500 0.2500 0.2500 1
Cs2 Cs 0.7500 0.7500 0.7500 1



no.,size of the total moment (μB per cell),VASP energy (Ry/atom)
1,0.000,-0.2165
2,0.016,-0.4808
3,0.000,-0.2013
4,2.109,-0.1758